No. 1
! TaRe2Cl, relaxed, DFT GGA-PBE; values from VASP
! Theoretical density in g cm⁻³: 14.87
! Raw formation energy in kJ/mol of formula units: 371
! Calculated total energy in Ha/atom: -0.319
! ΔE to the lowest computed polymorph in meV/atom: 848.0
&SYSTEM
  ibrav = 0, nat = 4, ntyp = 3
/
ATOMIC_SPECIES
Re 186.21 Re.upf
Ta 180.95 Ta.upf
Cl 35.45 Cl.upf
ATOMIC_POSITIONS angstrom
Re -2.1155 -3.0377 -3.3002
Ta -2.7037 -1.0267 -1.0480
Re 0.0000 0.0000 0.0000
Cl -1.0990 -0.1667 -2.8683
CELL_PARAMETERS angstrom
-0.5107 -2.1777 -5.1205
-3.7202 -3.8977 -1.4800
0.4282 4.8821 2.6841


No. 2
! TaReCl4, relaxed, DFT GGA-PBE; values from VASP
! Theoretical density in g cm⁻³: 7.18
! Raw formation energy in kJ/mol of formula units: 957
! Calculated total energy in Ha/atom: -0.133
&SYSTEM
  ibrav = 0, nat = 6, ntyp = 3
/
ATOMIC_SPECIES
Ta 180.95 Ta.upf
Re 186.21 Re.upf
Cl 35.45 Cl.upf
ATOMIC_POSITIONS angstrom
Ta 0.0000 0.0000 0.0000
Re 5.8335 5.8335 5.8335
Cl 4.8633 2.9146 4.8633
Cl 2.9146 2.9146 2.9146
Cl 4.8633 4.8633 2.9146
Cl 2.9146 4.8633 4.8633
CELL_PARAMETERS angstrom
0.0000 3.8890 3.8890
3.8890 0.0000 3.8890
3.8890 3.8890 0.0000


No. 3
! Ta2ReCl4, relaxed, DFT GGA-PBE; values from VASP
! Theoretical density in g cm⁻³: 7.65
! Raw formation energy in kJ/mol of formula units: 647
! Calculated total energy in Ha/atom: -0.193
&SYSTEM
  ibrav = 0, nat = 7, ntyp = 3
/
ATOMIC_SPECIES
Cl 35.45 Cl.upf
Re 186.21 Re.upf
Ta 180.95 Ta.upf
ATOMIC_POSITIONS angstrom
Cl 4.8549 4.8549 2.5086
Re 0.0000 0.0000 0.0000
Ta 4.8549 4.8549 5.1590
Cl 2.4274 0.0000 0.0000
Cl 2.4274 2.4274 3.8445
Cl 0.0000 2.4274 0.0000
Ta 2.4274 2.4274 1.1941
CELL_PARAMETERS angstrom
4.8549 0.0000 0.0000
0.0000 4.8549 0.0000
2.4274 2.4274 6.3531


No. 4
! TaRe2Cl, relaxed, DFT GGA-PBE; values from VASP
! Theoretical density in g cm⁻³: 15.14
! Raw formation energy in kJ/mol of formula units: 348
! Calculated total energy in Ha/atom: -0.321
! ΔE to the lowest computed polymorph in meV/atom: 789.7
&SYSTEM
  ibrav = 0, nat = 4, ntyp = 3
/
ATOMIC_SPECIES
Cl 35.45 Cl.upf
Ta 180.95 Ta.upf
Re 186.21 Re.upf
ATOMIC_POSITIONS angstrom
Cl -5.2003 1.3049 -1.2928
Ta -7.8004 1.9573 -1.9392
Re -2.6001 0.6524 -0.6464
Re 0.0000 0.0000 0.0000
CELL_PARAMETERS angstrom
-2.6022 2.5106 -2.6839
-3.9395 -1.6138 -1.4677
-3.8589 1.7130 1.5661